# 1
# CaCuRe2 (PBE-GGA, relaxed)
data_CaCuRe2
_cell_length_a 2.5692
_cell_length_b 4.4608
_cell_length_c 6.1292
_cell_angle_alpha 90.00
_cell_angle_beta 90.00
_cell_angle_gamma 90.00
_space_group_name_H-M_alt 'P 1'
_space_group_IT_number 1
loop_
_space_group_symop_operation_xyz
'x,y,z'
loop_
_atom_site_label
_atom_site_type_symbol
_atom_site_fract_x
_atom_site_fract_y
_atom_site_fract_z
Re1 Re 0.0000 0.0000 0.9479
Re2 Re 0.0000 0.0000 0.5521
Ca1 Ca 0.5000 0.5000 0.2500
Cu1 Cu 0.5000 0.5000 0.7500
# Symmetry: Pmmm, No. 47
# Uncorrected energy in eV per atom: -7.01
# Total magnetic moment in μB/f.u.: 0.0
# Density of states at the Fermi level in states/eV/cell: 3.269

# 2
# RbGa3Tc (PBE-GGA, relaxed)
data_RbGa3Tc
_cell_length_a 4.6925
_cell_length_b 6.2578
_cell_length_c 9.0687
_cell_angle_alpha 90.00
_cell_angle_beta 88.75
_cell_angle_gamma 90.00
_space_group_name_H-M_alt 'P 1'
_space_group_IT_number 1
loop_
_space_group_symop_operation_xyz
'x,y,z'
loop_
_atom_site_label
_atom_site_type_symbol
_atom_site_fract_x
_atom_site_fract_y
_atom_site_fract_z
Ga1 Ga 0.6849 0.9614 0.0957
Ga2 Ga 0.3151 0.0386 0.9043
Ga3 Ga 0.6849 0.5386 0.0957
Ga4 Ga 0.3151 0.4614 0.9043
Ga5 Ga 0.5803 0.2500 0.6826
Ga6 Ga 0.4197 0.7500 0.3174
Tc1 Tc 0.8368 0.2500 0.9226
Tc2 Tc 0.1632 0.7500 0.0774
Rb1 Rb 0.1040 0.2500 0.3575
Rb2 Rb 0.8960 0.7500 0.6425
# Symmetry: P2_1/m, No. 11
# Uncorrected energy in eV per atom: -3.97
# Total magnetic moment in μB/f.u.: 0.0
# Density of states at the Fermi level in states/eV/cell: 4.190

# 3
# CuOsSeN2 (PBE-GGA, relaxed)
data_CuOsSeN2
_cell_length_a 3.7083
_cell_length_b 3.7083
_cell_length_c 4.8294
_cell_angle_alpha 90.00
_cell_angle_beta 90.00
_cell_angle_gamma 90.00
_space_group_name_H-M_alt 'P 1'
_space_group_IT_number 1
loop_
_space_group_symop_operation_xyz
'x,y,z'
loop_
_atom_site_label
_atom_site_type_symbol
_atom_site_fract_x
_atom_site_fract_y
_atom_site_fract_z
Os1 Os 0.5000 0.5000 0.5000
Cu1 Cu 0.0000 0.0000 0.0000
Se1 Se 0.0000 0.0000 0.5000
N1 N 0.0000 0.5000 0.0000
N2 N 0.5000 0.0000 0.0000
# Symmetry: P4/mmm, No. 123
# Uncorrected energy in eV per atom: -5.02
# Total magnetic moment in μB/f.u.: 0.0
# Raw formation energy in eV per atom: 2.07
# Density of states at the Fermi level in states/eV/cell: 5.311

Look up the density of states at the Fermi level of the first one. 3.269 states/eV/cell

Which value of uncorrected energy does entry 3 give? -5.02 eV per atom

Copy entry 2 word for word.
# RbGa3Tc (PBE-GGA, relaxed)
data_RbGa3Tc
_cell_length_a 4.6925
_cell_length_b 6.2578
_cell_length_c 9.0687
_cell_angle_alpha 90.00
_cell_angle_beta 88.75
_cell_angle_gamma 90.00
_space_group_name_H-M_alt 'P 1'
_space_group_IT_number 1
loop_
_space_group_symop_operation_xyz
'x,y,z'
loop_
_atom_site_label
_atom_site_type_symbol
_atom_site_fract_x
_atom_site_fract_y
_atom_site_fract_z
Ga1 Ga 0.6849 0.9614 0.0957
Ga2 Ga 0.3151 0.0386 0.9043
Ga3 Ga 0.6849 0.5386 0.0957
Ga4 Ga 0.3151 0.4614 0.9043
Ga5 Ga 0.5803 0.2500 0.6826
Ga6 Ga 0.4197 0.7500 0.3174
Tc1 Tc 0.8368 0.2500 0.9226
Tc2 Tc 0.1632 0.7500 0.0774
Rb1 Rb 0.1040 0.2500 0.3575
Rb2 Rb 0.8960 0.7500 0.6425
# Symmetry: P2_1/m, No. 11
# Uncorrected energy in eV per atom: -3.97
# Total magnetic moment in μB/f.u.: 0.0
# Density of states at the Fermi level in states/eV/cell: 4.190

Which of these has the highest uncorrected energy? RbGa3Tc